Entry 1:
First-principles (PBE) data for KBi12Pd4 after structural relaxation, as listed in the Alexandria database.

Values from the calculation:
Energy relative to the elements, meV per atom: -216

```
KBi12Pd4
1.0
-0.205 7.168 -4.889
-3.396 -6.634 -4.448
-4.617 1.299 7.233
Bi Pd K
12 4 1
Cartesian
-4.702 2.305 -3.433
-5.990 -1.153 -1.413
-4.471 -3.819 -2.151
-2.228 2.985 -0.691
-2.178 3.985 -4.310
-3.650 -0.503 -5.693
-3.746 5.652 0.047
-6.040 -2.153 2.206
-3.516 -0.473 1.329
-5.702 2.504 0.649
-4.568 2.335 3.589
-2.516 -0.671 -2.752
-1.698 -3.317 -2.224
-2.308 0.649 3.616
-0.102 3.584 -2.445
-4.109 0.916 -1.052
0.000 0.000 0.000
```



Entry 2:
First-principles (PBE) data for KBi12Pd6 after structural relaxation, as listed in the Alexandria database.

Values from the calculation:
Energy relative to the elements, meV per atom: -200

```
KBi12Pd6
1.0
-2.101 7.463 -3.525
1.886 -5.159 -6.508
-7.208 -3.067 3.342
Pd Bi K
6 12 1
Cartesian
-2.819 3.132 -3.268
-1.042 -2.493 -4.597
-4.604 -3.895 -3.423
-2.328 0.797 -6.483
-6.380 1.730 -2.093
-5.095 -1.560 -0.208
-7.137 0.407 0.366
-2.210 -5.136 -4.469
-3.668 -1.777 -5.452
-3.755 1.014 -1.238
-2.713 -2.287 -2.019
-6.046 -1.230 -2.876
-5.636 -4.348 -0.758
-4.710 1.524 -4.672
-5.213 4.374 -2.221
-0.286 -1.170 -7.056
-1.787 3.585 -5.932
-1.377 0.467 -3.814
0.000 0.000 0.000
```



Entry 3:
First-principles (PBE) data for KBi2Pd after structural relaxation, as listed in the Alexandria database.

Values from the calculation:
E above lowest polymorph, meV per atom: 0.0
Energy relative to the elements, meV per atom: -306

```
KBi2Pd
1.0
-1.859 -1.900 3.562
-3.016 -3.224 -0.520
3.950 -6.943 1.131
Pd Bi K
1 2 1
Cartesian
0.682 -10.341 3.159
3.089 -6.134 1.113
-0.778 -2.503 1.032
-0.429 -6.065 2.087
```



Entry 4:
First-principles (PBE) data for KBi4Pd6 after structural relaxation, as listed in the Alexandria database.

Values from the calculation:
Energy relative to the elements, meV per atom: -242

```
KBi4Pd6
1.0
4.542 0.000 0.000
0.000 7.898 0.000
0.000 -3.949 6.840
Pd Bi K
6 4 1
Cartesian
0.000 3.949 0.593
2.271 -1.463 5.405
2.271 1.463 5.405
0.000 2.488 3.123
2.271 0.000 2.871
0.000 5.410 3.123
2.271 2.244 1.295
2.271 5.654 1.295
0.000 0.000 4.560
2.271 3.949 4.249
0.000 0.000 0.000
```